Ti2Mo5W: relaxed, PBE-GGA. Values from VASP.

Cell and atoms, written as Quantum ESPRESSO input:
```
&SYSTEM
  ibrav = 0, nat = 16, ntyp = 3
/
ATOMIC_SPECIES
Ti 47.87 Ti.upf
Mo 95.94 Mo.upf
W 183.84 W.upf
ATOMIC_POSITIONS crystal
Ti 0.163 0.115 0.000
Ti 0.337 0.615 0.000
Ti 0.663 0.385 0.000
Ti 0.837 0.885 0.000
Mo 0.000 0.000 0.500
Mo 0.152 0.755 0.500
Mo 0.162 0.375 0.000
Mo 0.338 0.875 0.000
Mo 0.348 0.255 0.500
Mo 0.500 0.500 0.500
Mo 0.652 0.745 0.500
Mo 0.662 0.125 0.000
Mo 0.838 0.625 0.000
Mo 0.848 0.245 0.500
W 0.000 0.500 0.500
W 0.500 0.000 0.500
CELL_PARAMETERS angstrom
5.379 0.000 0.000
0.000 10.504 0.000
0.000 0.000 4.519
```

Magnetization, μB/cell: 0.000
Calculated density, g/cm³: 9.88
Formation energy, eV per atom: -0.03
Calculated total energy, eV for the cell shown: -166.31

---

Ti4MoW: relaxed, PBE-GGA. Values from VASP.

Cell and atoms, written as Quantum ESPRESSO input:
```
&SYSTEM
  ibrav = 0, nat = 12, ntyp = 3
/
ATOMIC_SPECIES
Ti 47.87 Ti.upf
Mo 95.94 Mo.upf
W 183.84 W.upf
ATOMIC_POSITIONS crystal
Ti 0.000 0.001 0.152
Ti 0.000 0.498 0.654
Ti 0.000 0.502 0.346
Ti 0.000 0.999 0.848
Ti 0.500 0.001 0.348
Ti 0.500 0.498 0.846
Ti 0.500 0.502 0.154
Ti 0.500 0.999 0.652
Mo 0.000 0.000 0.500
Mo 0.500 0.000 0.000
W 0.000 0.500 0.000
W 0.500 0.500 0.500
CELL_PARAMETERS angstrom
4.558 0.000 0.000
0.000 4.561 0.000
0.000 0.000 9.576
```

Magnetization, μB/cell: 0.000
Calculated density, g/cm³: 7.86
Formation energy, eV per atom: -0.01
Calculated total energy, eV for the cell shown: -110.90

---

TiMo12W6: relaxed, PBE-GGA. Values from VASP.

Cell and atoms, written as Quantum ESPRESSO input:
```
&SYSTEM
  ibrav = 0, nat = 19, ntyp = 3
/
ATOMIC_SPECIES
Ti 47.87 Ti.upf
Mo 95.94 Mo.upf
W 183.84 W.upf
ATOMIC_POSITIONS crystal
Ti 0.000 0.000 0.000
Mo 0.145 0.500 0.855
Mo 0.145 0.855 0.500
Mo 0.228 0.485 0.485
Mo 0.485 0.228 0.485
Mo 0.485 0.485 0.228
Mo 0.500 0.145 0.855
Mo 0.500 0.855 0.145
Mo 0.515 0.515 0.772
Mo 0.515 0.772 0.515
Mo 0.772 0.515 0.515
Mo 0.855 0.145 0.500
Mo 0.855 0.500 0.145
W 0.168 0.168 0.699
W 0.168 0.699 0.168
W 0.301 0.832 0.832
W 0.699 0.168 0.168
W 0.832 0.301 0.832
W 0.832 0.832 0.301
CELL_PARAMETERS angstrom
5.226 3.017 3.840
-5.226 3.017 3.840
0.000 -6.034 3.840
```

Magnetization, μB/cell: 0.000
Calculated density, g/cm³: 10.52
Formation energy, eV per atom: 0.96
Calculated total energy, eV for the cell shown: -197.32

---

TiMo5W4: relaxed, PBE-GGA. Values from VASP.

Cell and atoms, written as Quantum ESPRESSO input:
```
&SYSTEM
  ibrav = 0, nat = 10, ntyp = 3
/
ATOMIC_SPECIES
Ti 47.87 Ti.upf
Mo 95.94 Mo.upf
W 183.84 W.upf
ATOMIC_POSITIONS crystal
Ti 0.000 0.000 0.000
Mo 0.500 0.500 0.102
Mo 0.500 0.500 0.301
Mo 0.500 0.500 0.500
Mo 0.500 0.500 0.699
Mo 0.500 0.500 0.898
W 0.000 0.000 0.198
W 0.000 0.000 0.399
W 0.000 0.000 0.601
W 0.000 0.000 0.802
CELL_PARAMETERS angstrom
3.168 0.000 0.000
0.000 3.168 0.000
0.000 0.000 15.912
```

Magnetization, μB/cell: 0.000
Calculated density, g/cm³: 13.13
Formation energy, eV per atom: -0.07
Calculated total energy, eV for the cell shown: -114.57

---

TiMo5W2: relaxed, PBE-GGA. Values from VASP.

Cell and atoms, written as Quantum ESPRESSO input:
```
&SYSTEM
  ibrav = 0, nat = 8, ntyp = 3
/
ATOMIC_SPECIES
Ti 47.87 Ti.upf
Mo 95.94 Mo.upf
W 183.84 W.upf
ATOMIC_POSITIONS crystal
Ti 0.000 0.000 0.000
Mo 0.125 0.625 0.500
Mo 0.375 0.875 0.500
Mo 0.500 0.500 0.000
Mo 0.625 0.125 0.500
Mo 0.875 0.375 0.500
W 0.248 0.248 0.000
W 0.752 0.752 0.000
CELL_PARAMETERS angstrom
-2.239 2.239 6.327
2.239 -2.239 6.327
2.239 2.239 -6.327
```

Magnetization, μB/cell: 0.000
Calculated density, g/cm³: 11.72
Formation energy, eV per atom: -0.11
Calculated total energy, eV for the cell shown: -88.86

---

TiMo3W: relaxed, PBE-GGA. Values from VASP.

Cell and atoms, written as Quantum ESPRESSO input:
```
&SYSTEM
  ibrav = 0, nat = 10, ntyp = 3
/
ATOMIC_SPECIES
Ti 47.87 Ti.upf
Mo 95.94 Mo.upf
W 183.84 W.upf
ATOMIC_POSITIONS crystal
Ti 0.116 0.116 0.116
Ti 0.884 0.884 0.884
Mo 0.098 0.445 0.768
Mo 0.232 0.902 0.555
Mo 0.445 0.768 0.098
Mo 0.555 0.232 0.902
Mo 0.768 0.098 0.445
Mo 0.902 0.555 0.232
W 0.367 0.367 0.367
W 0.633 0.633 0.633
CELL_PARAMETERS angstrom
3.858 2.228 3.192
-3.858 2.228 3.192
0.000 -4.455 3.192
```

Magnetization, μB/cell: 0.000
Calculated density, g/cm³: 10.48
Formation energy, eV per atom: 0.52
Calculated total energy, eV for the cell shown: -101.50
Offset from the most stable computed form, meV/atom: 648

---

Ti2Mo4W: relaxed, PBE-GGA. Values from VASP.

Cell and atoms, written as Quantum ESPRESSO input:
```
&SYSTEM
  ibrav = 0, nat = 7, ntyp = 3
/
ATOMIC_SPECIES
Ti 47.87 Ti.upf
Mo 95.94 Mo.upf
W 183.84 W.upf
ATOMIC_POSITIONS crystal
Ti 0.249 0.143 0.215
Ti 0.751 0.857 0.785
Mo 0.100 0.566 0.355
Mo 0.456 0.713 0.070
Mo 0.544 0.287 0.930
Mo 0.900 0.434 0.645
W 0.500 0.000 0.500
CELL_PARAMETERS angstrom
2.699 0.000 0.000
-1.010 6.917 0.000
-0.729 -3.429 6.071
```

Magnetization, μB/cell: 0.000
Calculated density, g/cm³: 9.72
Formation energy, eV per atom: 0.09
Calculated total energy, eV for the cell shown: -71.42
Offset from the most stable computed form, meV/atom: 0

---

TiMo6W2: relaxed, PBE-GGA. Values from VASP.

Cell and atoms, written as Quantum ESPRESSO input:
```
&SYSTEM
  ibrav = 0, nat = 9, ntyp = 3
/
ATOMIC_SPECIES
Ti 47.87 Ti.upf
Mo 95.94 Mo.upf
W 183.84 W.upf
ATOMIC_POSITIONS crystal
Ti 0.000 0.000 0.000
Mo 0.199 0.674 0.291
Mo 0.230 0.230 0.451
Mo 0.326 0.801 0.709
Mo 0.674 0.199 0.291
Mo 0.770 0.770 0.549
Mo 0.801 0.326 0.709
W 0.330 0.330 0.878
W 0.670 0.670 0.122
CELL_PARAMETERS angstrom
4.406 -2.716 0.000
4.406 2.716 0.000
-2.865 0.000 6.274
```

Magnetization, μB/cell: 0.000
Calculated density, g/cm³: 10.96
Formation energy, eV per atom: 0.41
Calculated total energy, eV for the cell shown: -95.08
Offset from the most stable computed form, meV/atom: 495

---

TiMo3W3: relaxed, PBE-GGA. Values from VASP.

Cell and atoms, written as Quantum ESPRESSO input:
```
&SYSTEM
  ibrav = 0, nat = 7, ntyp = 3
/
ATOMIC_SPECIES
Ti 47.87 Ti.upf
Mo 95.94 Mo.upf
W 183.84 W.upf
ATOMIC_POSITIONS crystal
Ti 0.000 0.000 0.000
Mo 0.484 0.484 0.973
Mo 0.484 0.973 0.484
Mo 0.973 0.484 0.484
W 0.487 0.985 0.985
W 0.985 0.487 0.985
W 0.985 0.985 0.487
CELL_PARAMETERS angstrom
4.440 2.563 1.788
-4.440 2.563 1.788
0.000 -5.127 1.788
```

Magnetization, μB/cell: 0.000
Calculated density, g/cm³: 12.07
Formation energy, eV per atom: 0.34
Calculated total energy, eV for the cell shown: -76.83

---

Ti2Mo2W: relaxed, PBE-GGA. Values from VASP.

Cell and atoms, written as Quantum ESPRESSO input:
```
&SYSTEM
  ibrav = 0, nat = 5, ntyp = 3
/
ATOMIC_SPECIES
Ti 47.87 Ti.upf
Mo 95.94 Mo.upf
W 183.84 W.upf
ATOMIC_POSITIONS crystal
Ti 0.206 0.206 0.118
Ti 0.794 0.794 0.882
Mo 0.403 0.403 0.709
Mo 0.597 0.597 0.291
W 0.000 0.000 0.500
CELL_PARAMETERS angstrom
3.881 -2.235 0.000
3.881 2.235 0.000
-2.589 0.000 4.599
```

Magnetization, μB/cell: 0.000
Calculated density, g/cm³: 9.81
Formation energy, eV per atom: -0.13
Calculated total energy, eV for the cell shown: -51.05
Offset from the most stable computed form, meV/atom: 0

---

TiMo4W5: relaxed, PBE-GGA. Values from VASP.

Cell and atoms, written as Quantum ESPRESSO input:
```
&SYSTEM
  ibrav = 0, nat = 10, ntyp = 3
/
ATOMIC_SPECIES
Ti 47.87 Ti.upf
Mo 95.94 Mo.upf
W 183.84 W.upf
ATOMIC_POSITIONS crystal
Ti 0.000 0.000 0.000
Mo 0.169 0.169 0.744
Mo 0.498 0.498 0.751
Mo 0.502 0.502 0.249
Mo 0.831 0.831 0.256
W 0.000 0.000 0.500
W 0.328 0.328 0.999
W 0.332 0.332 0.512
W 0.668 0.668 0.488
W 0.672 0.672 0.001
CELL_PARAMETERS angstrom
6.552 -2.185 0.000
6.552 2.185 0.000
-0.017 0.000 6.228
```

Magnetization, μB/cell: 0.000
Calculated density, g/cm³: 12.58
Formation energy, eV per atom: 0.53
Calculated total energy, eV for the cell shown: -110.69
Offset from the most stable computed form, meV/atom: 580